# 1
Entry from Alexandria via LeMat-Bulk: a relaxed HoTl2F11 crystal (PBE).

Cell and atoms, written as CIF:
```
data_HoTl2F11
_cell_length_a 8.305
_cell_length_b 10.306
_cell_length_c 10.943
_cell_angle_alpha 90.00
_cell_angle_beta 90.00
_cell_angle_gamma 90.00
_space_group_name_H-M_alt 'I b a m'
_space_group_IT_number 72
_space_group_name_Hall '-I 2 2c'
loop_
_atom_site_label
_atom_site_fract_x
_atom_site_fract_y
_atom_site_fract_z
_atom_site_occupancy
Ho1 0.000 0.000 0.250 1
Tl1 0.167 0.308 0.000 1
F1 0.000 0.500 0.000 1
F2 0.102 0.171 0.146 1
F3 0.104 0.311 0.500 1
F4 0.207 0.072 0.366 1
```

Uncorrected formation energy   -29.55 eV/f.u.
Total magnetization   0.155 μB/atom
DOS(E_F)   0.947 states/eV/atom



# 2
Entry from Alexandria via LeMat-Bulk: a relaxed HoTl4F7 crystal (PBE).

Cell and atoms, written as CIF:
```
data_HoTl4F7
_cell_length_a 19.828
_cell_length_b 4.342
_cell_length_c 6.667
_cell_angle_alpha 90.00
_cell_angle_beta 107.52
_cell_angle_gamma 90.00
_space_group_name_H-M_alt 'C 1 2/m 1'
_space_group_IT_number 12
loop_
_space_group_symop_operation_xyz
'x,y,z'
'-x,-y,-z'
'-x,y,-z'
'x,-y,z'
'x+1/2,y+1/2,z'
'-x+1/2,-y+1/2,-z'
'-x+1/2,y+1/2,-z'
'x+1/2,-y+1/2,z'
loop_
_atom_site_label
_atom_site_fract_x
_atom_site_fract_y
_atom_site_fract_z
_atom_site_occupancy
Ho1 0.000 0.000 0.000 1
Tl1 0.094 0.500 0.578 1
Tl2 0.198 0.500 0.162 1
F1 0.000 0.500 0.000 1
F2 0.081 0.000 0.839 1
F3 0.084 0.000 0.298 1
F4 0.222 0.500 0.805 1
```

Uncorrected formation energy   -30.61 eV/f.u.
Total magnetization   0.000 μB/atom
DOS(E_F)   0.000 states/eV/atom



# 3
Entry from Alexandria via LeMat-Bulk: a relaxed HoTl3F6 crystal (PBE).

Cell and atoms, written as CIF:
```
data_HoTl3F6
_cell_length_a 6.554
_cell_length_b 6.889
_cell_length_c 11.442
_cell_angle_alpha 90.00
_cell_angle_beta 124.16
_cell_angle_gamma 90.00
_space_group_name_H-M_alt 'P 1 21/c 1'
_space_group_IT_number 14
loop_
_space_group_symop_operation_xyz
'x,y,z'
'-x,-y,-z'
'-x,y+1/2,-z+1/2'
'x,-y+1/2,z+1/2'
loop_
_atom_site_label
_atom_site_fract_x
_atom_site_fract_y
_atom_site_fract_z
_atom_site_occupancy
Ho1 0.000 0.000 0.000 1
Tl1 0.267 0.041 0.754 1
Tl2 0.500 0.000 0.500 1
F1 0.104 0.052 0.216 1
F2 0.223 0.736 0.068 1
F3 0.324 0.163 0.046 1
```

Uncorrected formation energy   -27.29 eV/f.u.
Total magnetization   0.000 μB/atom
DOS(E_F)   0.000 states/eV/atom



# 4
Entry from Alexandria via LeMat-Bulk: a relaxed Ho2Tl5F12 crystal (PBE).

Cell and atoms, written as CIF:
```
data_Ho2Tl5F12
_cell_length_a 14.530
_cell_length_b 8.048
_cell_length_c 6.373
_cell_angle_alpha 90.00
_cell_angle_beta 97.60
_cell_angle_gamma 90.00
_space_group_name_H-M_alt 'C 1 2/m 1'
_space_group_IT_number 12
loop_
_space_group_symop_operation_xyz
'x,y,z'
'-x,-y,-z'
'-x,y,-z'
'x,-y,z'
'x+1/2,y+1/2,z'
'-x+1/2,-y+1/2,-z'
'-x+1/2,y+1/2,-z'
'x+1/2,-y+1/2,z'
loop_
_atom_site_label
_atom_site_fract_x
_atom_site_fract_y
_atom_site_fract_z
_atom_site_occupancy
Ho1 0.000 0.240 0.000 1
Tl1 0.000 0.500 0.500 1
Tl2 0.141 0.000 0.495 1
Tl3 0.226 0.500 0.993 1
F1 0.015 0.000 0.806 1
F2 0.061 0.500 0.157 1
F3 0.086 0.306 0.739 1
F4 0.141 0.196 0.171 1
```

Uncorrected formation energy   -52.04 eV/f.u.
Total magnetization   0.053 μB/atom
DOS(E_F)   0.134 states/eV/atom



# 5
Entry from Alexandria via LeMat-Bulk: a relaxed HoTl5F8 crystal (PBE).

Cell and atoms, written as CIF:
```
data_HoTl5F8
_cell_length_a 7.933
_cell_length_b 7.933
_cell_length_c 8.651
_cell_angle_alpha 90.00
_cell_angle_beta 90.00
_cell_angle_gamma 90.00
_space_group_name_H-M_alt 'I -4'
_space_group_IT_number 82
loop_
_space_group_symop_operation_xyz
'x,y,z'
'y,-x,-z'
'-x,-y,z'
'-y,x,-z'
'x+1/2,y+1/2,z+1/2'
'y+1/2,-x+1/2,-z+1/2'
'-x+1/2,-y+1/2,z+1/2'
'-y+1/2,x+1/2,-z+1/2'
loop_
_atom_site_label
_atom_site_fract_x
_atom_site_fract_y
_atom_site_fract_z
_atom_site_occupancy
Ho1 0.000 0.000 0.000 1
Tl1 0.000 0.500 0.250 1
Tl2 0.114 0.236 0.628 1
F1 0.057 0.163 0.219 1
F2 0.074 0.264 0.921 1
```

Uncorrected formation energy   -33.93 eV/f.u.
Total magnetization   0.000 μB/atom
DOS(E_F)   0.000 states/eV/atom



# 6
Entry from Alexandria via LeMat-Bulk: a relaxed Ho2TlF7 crystal (PBE).

Cell and atoms, written as CIF:
```
data_Ho2TlF7
_cell_length_a 7.045
_cell_length_b 11.403
_cell_length_c 4.363
_cell_angle_alpha 90.00
_cell_angle_beta 90.00
_cell_angle_gamma 90.00
_space_group_name_H-M_alt 'C m m m'
_space_group_IT_number 65
_space_group_name_Hall '-C 2 2'
loop_
_atom_site_label
_atom_site_fract_x
_atom_site_fract_y
_atom_site_fract_z
_atom_site_occupancy
Ho1 0.000 0.192 0.000 1
Tl1 0.000 0.500 0.500 1
F1 0.000 0.000 0.000 1
F2 0.000 0.202 0.500 1
F3 0.189 0.354 0.000 1
```

Uncorrected formation energy   -37.08 eV/f.u.
Total magnetization   0.000 μB/atom
DOS(E_F)   0.000 states/eV/atom